(1)
Material: Lu4FeSbC2
Method: DFT, GGA-PBE
State: optimized geometry

The structure belongs to space group P-6m2 (No. 187); the cell edges are 3.5132, 3.5132 and 14.3757 Å and the angles 90.00°, 90.00° and 120.00°. The asymmetric unit holds Lu at (0.0000, 0.0000, 0.1457), Lu at (0.6667, 0.3333, 0.3264), Fe at (0.6667, 0.3333, 0.0000), Sb at (0.0000, 0.0000, 0.5000) and C at (0.3333, 0.6667, 0.2403).

As for the density: 9.74 g/cm3. The value obtained for the electronic total energy is -6.440 eV per atom. Its total magnetic moment is 1.86 μB per formula unit. The calculation puts the volume at 153.66 Å³ per cell.

(2)
Material: MgInNiAu
Method: DFT, GGA-PBE
State: optimized geometry

The structure belongs to space group F-43m (No. 216); the cell edges are 6.456, 6.456 and 6.456 Å and the angles 90.00°, 90.00° and 90.00°. The asymmetric unit holds Mg at (0.000, 0.000, 0.000), In at (0.250, 0.250, 0.250), Ni at (0.000, 0.000, 0.500) and Au at (0.250, 0.250, 0.750).

As for the density: 9.75 g/cm3. The value obtained for the electronic total energy is -3.466 eV per atom. Its total magnetic moment is 0.00 μB per formula unit. The calculation puts the volume at 269.07 Å³ per cell.

(3)
Material: Hg2Au7
Method: DFT, GGA-PBE
State: optimized geometry

The structure belongs to space group P-3m1 (No. 164); the cell edges are 2.9168, 2.9168 and 30.9888 Å and the angles 90.00°, 90.00° and 120.00°. The asymmetric unit holds Hg at (0.3333, 0.6667, 0.1751), Au at (0.0000, 0.0000, 0.2655), Au at (0.0000, 0.0000, 0.5000), Au at (0.3333, 0.6667, 0.4223) and Au at (0.3333, 0.6667, 0.6557).

As for the density: 12.95 g/cm3. The value obtained for the electronic total energy is -2.544 eV per atom. The calculation puts the volume at 228.32 Å³ per cell.

(4)
Material: GdBiPd2O6
Method: DFT, GGA-PBE
State: optimized geometry

The structure belongs to space group Fm-3m (No. 225); the cell edges are 8.462, 8.462 and 8.462 Å and the angles 90.00°, 90.00° and 90.00°. The asymmetric unit holds Gd at (0.000, 0.000, 0.000), Bi at (0.000, 0.000, 0.500), Pd at (0.250, 0.250, 0.250) and O at (0.000, 0.000, 0.258).

As for the density: 7.40 g/cm3. The value obtained for the electronic total energy is -5.457 eV per atom. Its total magnetic moment is 3.97 μB per formula unit. The calculation puts the volume at 605.93 Å³ per cell.

(5)
Material: TbTmPd
Method: DFT, GGA-PBE
State: optimized geometry

The structure belongs to space group F-43m (No. 216); the cell edges are 6.851, 6.851 and 6.851 Å and the angles 90.00°, 90.00° and 90.00°. The asymmetric unit holds Tb at (0.000, 0.000, 0.000), Tm at (0.000, 0.000, 0.500) and Pd at (0.250, 0.250, 0.250).

As for the density: 8.97 g/cm3. The excess energy over the best structure of this formula in the dataset comes out at 0 meV/atom. The value obtained for the electronic total energy is -5.256 eV per atom. Its total magnetic moment is 0.02 μB per formula unit. The calculation puts the volume at 321.57 Å³ per cell.

(6)
Material: Li4SmBiO6
Method: DFT, GGA-PBE
State: optimized geometry

The structure belongs to space group C2 (No. 5); the cell edges are 5.540, 9.783 and 5.285 Å and the angles 90.00°, 108.75° and 90.00°. The asymmetric unit holds Li at (0.000, 0.000, 0.000), Li at (0.000, 0.136, 0.500), Li at (0.000, 0.300, 0.000), Li at (0.000, 0.607, 0.000), Sm at (0.000, 0.802, 0.500), Bi at (0.000, 0.470, 0.500), O at (0.222, 0.313, 0.748), O at (0.238, 0.624, 0.750) and O at (0.240, 0.476, 0.258).

As for the density: 5.91 g/cm3. The value obtained for the electronic total energy is -5.764 eV per atom. Its total magnetic moment is 0.00 μB per formula unit. The calculation puts the volume at 271.27 Å³ per cell.

(7)
Material: TmAlPdPt
Method: DFT, GGA-PBE
State: optimized geometry

The structure belongs to space group P-3m1 (No. 164); the cell edges are 4.3352, 4.3352 and 9.0690 Å and the angles 90.00°, 90.00° and 120.00°. The asymmetric unit holds Tm at (0.3333, 0.6667, 0.2537), Al at (0.0000, 0.0000, 0.0000), Al at (0.0000, 0.0000, 0.5000), Pd at (0.3333, 0.6667, 0.9186) and Pt at (0.3333, 0.6667, 0.5866).

As for the density: 11.19 g/cm3. The excess energy over the best structure of this formula in the dataset comes out at 12 meV/atom. The value obtained for the electronic total energy is -5.959 eV per atom. Its total magnetic moment is 0.00 μB per formula unit. The calculation puts the volume at 147.61 Å³ per cell.

(8)
Material: Hf2TcSb
Method: DFT, GGA-PBE
State: optimized geometry

The structure belongs to space group F-43m (No. 216); the cell edges are 6.733, 6.733 and 6.733 Å and the angles 90.00°, 90.00° and 90.00°. The asymmetric unit holds Hf at (0.000, 0.000, 0.000), Hf at (0.250, 0.250, 0.250), Tc at (0.250, 0.250, 0.750) and Sb at (0.000, 0.000, 0.500).

As for the density: 12.55 g/cm3. The value obtained for the electronic total energy is -8.624 eV per atom. Its total magnetic moment is 0.95 μB per formula unit. The calculation puts the volume at 305.21 Å³ per cell.

(9)
Material: AlCo2
Method: DFT, GGA-PBE
State: optimized geometry

The structure belongs to space group P4_2/mnm (No. 136); the cell edges are 8.788, 8.788 and 4.583 Å and the angles 90.00°, 90.00° and 90.00°. The asymmetric unit holds Al at (0.000, 0.000, 0.000), Al at (0.065, 0.279, 0.000), Co at (0.039, 0.361, 0.500), Co at (0.101, 0.101, 0.500) and Co at (0.180, 0.820, 0.251).

As for the density: 6.80 g/cm3. The value obtained for the electronic total energy is -6.125 eV per atom. Its total magnetic moment is 2.51 μB per formula unit. The calculation puts the volume at 353.92 Å³ per cell.

(10)
Material: ScFeIrPb
Method: DFT, GGA-PBE
State: optimized geometry

The structure belongs to space group F-43m (No. 216); the cell edges are 6.503, 6.503 and 6.503 Å and the angles 90.00°, 90.00° and 90.00°. The asymmetric unit holds Sc at (0.000, 0.000, 0.000), Fe at (0.250, 0.250, 0.750), Ir at (0.250, 0.250, 0.250) and Pb at (0.000, 0.000, 0.500).

As for the density: 12.08 g/cm3. The excess energy over the best structure of this formula in the dataset comes out at 0 meV/atom. The value obtained for the electronic total energy is -6.893 eV per atom. Its total magnetic moment is 1.56 μB per formula unit. The calculation puts the volume at 274.98 Å³ per cell.

(11)
Material: Y3Mg3GaCuAu
Method: DFT, GGA-PBE
State: optimized geometry

The structure belongs to space group P-6 (No. 174); the cell edges are 7.5509, 7.5509 and 4.0734 Å and the angles 90.00°, 90.00° and 120.00°. The asymmetric unit holds Y at (0.0772, 0.7423, 0.0000), Mg at (0.4250, 0.0917, 0.5000), Ga at (0.0000, 0.0000, 0.5000), Cu at (0.6667, 0.3333, 0.0000) and Au at (0.3333, 0.6667, 0.5000).

As for the density: 5.53 g/cm3. The value obtained for the electronic total energy is -4.265 eV per atom. Its total magnetic moment is 0.00 μB per formula unit. The calculation puts the volume at 201.13 Å³ per cell.

(12)
Material: PrAlCu
Method: DFT, GGA-PBE
State: optimized geometry

The structure belongs to space group P-62m (No. 189); the cell edges are 7.1102, 7.1102 and 4.2801 Å and the angles 90.00°, 90.00° and 120.00°. The asymmetric unit holds Pr at (0.0000, 0.5821, 0.0000), Al at (0.0000, 0.2300, 0.5000), Cu at (0.0000, 0.0000, 0.0000) and Cu at (0.3333, 0.6667, 0.5000).

As for the density: 6.15 g/cm3. The value obtained for the electronic total energy is -4.442 eV per atom. Its total magnetic moment is 0.00 μB per formula unit. The calculation puts the volume at 187.39 Å³ per cell.

Question: Among the records above, which one has the highest density?
Answer: Hg2Au7

Question: What is the volume in the second record?
Answer: 269.07 Å³ per cell

Question: What is the volume in the fifth record?
Answer: 321.57 Å³ per cell

Question: What is the formula in the fifth record?
Answer: TbTmPd